Here is a relaxed structure of Sb2W from the Alexandria database. Energies are from PBE. Values from VASP.

Cell and atoms, written as Quantum ESPRESSO input:
```
&SYSTEM
  ibrav = 0, nat = 3, ntyp = 2
/
ATOMIC_SPECIES
Sb 121.76 Sb.upf
W 183.84 W.upf
ATOMIC_POSITIONS angstrom
Sb 2.584 -1.492 0.000
Sb 2.584 1.492 0.000
W 0.000 0.000 1.451
CELL_PARAMETERS angstrom
2.584 -4.475 0.000
2.584 4.475 0.000
0.000 0.000 2.902
```

Calculated values
**Crystal system**: hexagonal
**Excess energy over the best structure of this formula in the dataset**: 906 meV per atom
**Raw total energy**: -0.432 Ry per atom

Here is a relaxed structure of KNaAs2Cl from the Alexandria database. Energies are from PBE. Values from VASP.

Cell and atoms, written as Quantum ESPRESSO input:
```
&SYSTEM
  ibrav = 0, nat = 5, ntyp = 4
/
ATOMIC_SPECIES
Na 22.99 Na.upf
As 74.92 As.upf
K 39.10 K.upf
Cl 35.45 Cl.upf
ATOMIC_POSITIONS angstrom
Na -0.326 -4.052 2.138
As -1.938 -0.672 1.609
As 1.740 -0.914 1.714
K -0.128 -2.466 -1.185
Cl 0.000 0.000 0.000
CELL_PARAMETERS angstrom
-3.876 -1.345 3.218
-0.256 -4.933 -2.370
3.479 -1.827 3.427
```

Calculated values
**Crystal system**: tetragonal
**Raw total energy**: -0.194 Ry per atom

Here is a relaxed structure of Cs3SbS3 from the Alexandria database. Energies are from PBE. Values from VASP.

Cell and atoms, written as Quantum ESPRESSO input:
```
&SYSTEM
  ibrav = 0, nat = 28, ntyp = 3
/
ATOMIC_SPECIES
Cs 132.91 Cs.upf
S 32.06 S.upf
Sb 121.76 Sb.upf
ATOMIC_POSITIONS angstrom
Cs 5.879 5.879 5.879
Cs 4.615 0.632 9.862
Cs 4.642 9.889 5.852
Cs 1.842 3.405 7.089
Cs 5.852 4.642 9.889
Cs 0.605 0.605 0.605
Cs 9.889 5.852 4.642
Cs 7.089 1.842 3.405
Cs 3.405 7.089 1.842
Cs 9.862 4.615 0.632
Cs 8.652 8.652 8.652
Cs 0.632 9.862 4.615
S 7.792 8.824 4.719
S 1.669 9.966 7.949
S 6.916 5.775 2.545
S 7.949 1.669 9.966
S 5.775 2.545 6.916
S 2.702 3.577 0.528
S 2.545 6.916 5.775
S 0.528 2.702 3.577
S 4.719 7.792 8.824
S 9.966 7.949 1.669
S 8.824 4.719 7.792
S 3.577 0.528 2.702
Sb 2.876 2.876 2.876
Sb 8.123 2.371 7.618
Sb 7.618 8.123 2.371
Sb 2.371 7.618 8.123
CELL_PARAMETERS angstrom
10.494 0.000 0.000
0.000 10.494 0.000
0.000 0.000 10.494
```

Calculated values
**Crystal system**: cubic
**Raw total energy**: -0.273 Ry per atom

Here is a relaxed structure of PrEr2As from the Alexandria database. Energies are from PBE. Values from VASP.

Cell and atoms, written as Quantum ESPRESSO input:
```
&SYSTEM
  ibrav = 0, nat = 4, ntyp = 3
/
ATOMIC_SPECIES
As 74.92 As.upf
Er 167.26 Er.upf
Pr 140.91 Pr.upf
ATOMIC_POSITIONS angstrom
As 3.766 2.174 5.237
Er 5.648 3.261 3.523
Er 1.883 1.087 6.951
Pr 0.000 0.000 0.000
CELL_PARAMETERS angstrom
3.766 0.000 0.000
1.883 3.261 0.000
1.883 1.087 10.474
```

Calculated values
**Crystal system**: trigonal
**Raw total energy**: -0.372 Ry per atom
**Formation energy**: -422 meV per atom

Here is a relaxed structure of Rb2UZnS4 from the Alexandria database. Energies are from PBE. Values from VASP.

Cell and atoms, written as Quantum ESPRESSO input:
```
&SYSTEM
  ibrav = 0, nat = 8, ntyp = 4
/
ATOMIC_SPECIES
S 32.06 S.upf
Zn 65.41 Zn.upf
U 238.03 U.upf
Rb 85.47 Rb.upf
ATOMIC_POSITIONS angstrom
S 4.379 2.914 0.765
S -2.053 -0.026 3.660
S 1.654 1.256 2.721
S -2.374 3.565 4.663
Zn -3.145 1.995 3.056
U 0.401 -0.255 4.377
Rb 0.401 4.109 1.528
Rb 0.000 0.000 0.000
CELL_PARAMETERS angstrom
7.093 -0.136 -0.208
-3.145 6.359 0.208
-3.145 -2.369 5.905
```

Calculated values
**Crystal system**: tetragonal
**Raw total energy**: -0.361 Ry per atom

Here is a relaxed structure of Rb2PuBO6 from the Alexandria database. Energies are from PBE. Values from VASP.

Cell and atoms, written as Quantum ESPRESSO input:
```
&SYSTEM
  ibrav = 0, nat = 10, ntyp = 4
/
ATOMIC_SPECIES
O 16.00 O.upf
Rb 85.47 Rb.upf
B 10.81 B.upf
Pu 244.00 Pu.upf
ATOMIC_POSITIONS angstrom
O -0.579 0.894 1.412
O 1.068 3.270 3.947
O -0.897 5.591 3.049
O -0.784 0.132 5.175
O -0.692 6.354 -0.715
O -2.545 3.216 0.513
Rb -2.663 3.017 3.693
Rb 1.186 3.469 0.767
B 0.000 0.000 0.000
Pu -2.091 1.292 0.148
CELL_PARAMETERS angstrom
-4.182 2.584 0.296
-0.336 -1.252 6.181
3.042 5.154 -2.017
```

Calculated values
**Crystal system**: trigonal
**Raw total energy**: -0.518 Ry per atom

Here is a relaxed structure of NbCoIr from the Alexandria database. Energies are from PBE. Values from VASP.

Cell and atoms, written as Quantum ESPRESSO input:
```
&SYSTEM
  ibrav = 0, nat = 3, ntyp = 3
/
ATOMIC_SPECIES
Nb 92.91 Nb.upf
Ir 192.22 Ir.upf
Co 58.93 Co.upf
ATOMIC_POSITIONS angstrom
Nb 2.515 3.133 1.795
Ir 0.730 1.024 2.149
Co 1.565 1.850 -0.310
CELL_PARAMETERS angstrom
-1.649 1.759 2.169
1.865 -1.180 2.376
2.594 2.903 -2.808
```

Calculated values
**Crystal system**: tetragonal
**Raw total energy**: -0.649 Ry per atom
**Formation energy**: -155 meV per atom

Here is a relaxed structure of Na2In9Ga from the Alexandria database. Energies are from PBE. Values from VASP.

Cell and atoms, written as Quantum ESPRESSO input:
```
&SYSTEM
  ibrav = 0, nat = 12, ntyp = 3
/
ATOMIC_SPECIES
Na 22.99 Na.upf
In 114.82 In.upf
Ga 69.72 Ga.upf
ATOMIC_POSITIONS angstrom
Na 0.000 0.000 4.685
Na 0.000 0.000 9.369
In 2.354 0.000 7.027
In 0.000 2.354 7.027
In 2.354 0.000 11.756
In 0.000 2.354 2.298
In 2.354 2.354 0.000
In 2.354 2.354 4.708
In 2.354 2.354 9.347
In 0.000 2.354 11.756
In 2.354 0.000 2.298
Ga 0.000 0.000 0.000
CELL_PARAMETERS angstrom
4.708 0.000 0.000
0.000 4.708 0.000
0.000 0.000 14.055
```

Calculated values
**Crystal system**: tetragonal
**Raw total energy**: -0.188 Ry per atom
**Formation energy**: -35 meV per atom

Which formula does entry 4 have? PrEr2As